# 1
Material: La3SnC
Method: DFT, PBE
State: optimized geometry

Volume ... 432 Å³/cell
Mass density ... 4.205 Mg/m³
Size of the total moment ... 2.137 Bohr magnetons per cell
Formation energy from the elements ... 91 kJ/mol of formula units

a = 3.6031 Å, b = 7.1887 Å, c = 16.6926 Å
α = 90.00°, β = 90.00°, γ = 90.00°
Space group Amm2 (No. 38)
Symmetry-distinct sites (fractional):
La  0.0000  0.0000  0.0000 [2 per cell]
La  0.5000  0.2365  0.8240 [4 per cell]
Sn  0.5000  0.0000  0.1627 [2 per cell]
C  0.0000  0.0000  0.8493 [2 per cell]



# 2
Material: Tl2H3I6
Method: DFT, PBE
State: optimized geometry

Volume ... 1775 Å³/cell
Mass density ... 4.391 Mg/m³
Total energy ... -2.35 eV/atom
Size of the total moment ... 0.000 Bohr magnetons per cell

a = 14.3865 Å, b = 8.4027 Å, c = 15.1683 Å
α = 90.00°, β = 104.56°, γ = 90.00°
Space group C2/c (No. 15)
Symmetry-distinct sites (fractional):
Tl  0.0707  0.2418  0.0061 [8 per cell]
H  0.0000  0.4360  0.2500 [4 per cell]
H  0.1710  0.0792  0.7673 [8 per cell]
I  0.0715  0.4251  0.3749 [8 per cell]
I  0.1293  0.0981  0.6214 [8 per cell]
I  0.2143  0.0453  0.8849 [8 per cell]



# 3
Material: Ca2CdSnIr
Method: DFT, PBE
State: optimized geometry

Volume ... 155 Å³/cell
Mass density ... 5.391 Mg/m³
Size of the total moment ... 0.000 Bohr magnetons per cell
Formation energy from the elements ... -149 kJ/mol of formula units

a = 5.5402 Å, b = 5.5402 Å, c = 5.0529 Å
α = 90.00°, β = 90.00°, γ = 90.00°
Space group P4/mmm (No. 123)
Symmetry-distinct sites (fractional):
Ca  0.0000  0.5000  0.0000 [2 per cell]
Cd  0.0000  0.0000  0.5000 [1 per cell]
Sn  0.5000  0.5000  0.5000 [1 per cell]
Ir  0.5000  0.5000  0.0000 [1 per cell]



# 4
Material: NaY2Pb5
Method: DFT, PBE
State: optimized geometry

Volume ... 464 Å³/cell
Mass density ... 8.856 Mg/m³
Size of the total moment ... 0.000 Bohr magnetons per cell
Formation energy from the elements ... -224 kJ/mol of formula units

a = 7.9415 Å, b = 7.9415 Å, c = 7.3538 Å
α = 90.00°, β = 90.00°, γ = 90.00°
Space group I4mm (No. 107)
Symmetry-distinct sites (fractional):
Na  0.0000  0.0000  0.0000 [2 per cell]
Y  0.0000  0.5000  0.4994 [4 per cell]
Pb  0.0000  0.0000  0.4989 [2 per cell]
Pb  0.2502  0.2502  0.2493 [8 per cell]



# 5
Material: LaHo2Th
Method: DFT, PBE
State: optimized geometry

Volume ... 131 Å³/cell
Mass density ... 8.911 Mg/m³
Excess energy over the best structure of this formula in the dataset ... 41 meV/atom
Size of the total moment ... 0.004 Bohr magnetons per cell
Formation energy from the elements ... 17 kJ/mol of formula units

a = 5.1250 Å, b = 5.1250 Å, c = 4.9720 Å
α = 90.00°, β = 90.00°, γ = 90.00°
Space group P4/mmm (No. 123)
Symmetry-distinct sites (fractional):
La  0.0000  0.0000  0.0000 [1 per cell]
Ho  0.0000  0.5000  0.5000 [2 per cell]
Th  0.5000  0.5000  0.0000 [1 per cell]



# 6
Material: SrTl12Pb6
Method: DFT, PBE
State: optimized geometry

Volume ... 1860 Å³/cell
Mass density ... 10.132 Mg/m³
Size of the total moment ... 0.000 Bohr magnetons per cell
Formation energy from the elements ... -28 kJ/mol of formula units

a = 12.0668 Å, b = 12.0668 Å, c = 14.7512 Å
α = 90.00°, β = 90.00°, γ = 120.00°
Space group R-3 (No. 148, hexagonal axes)
Symmetry-distinct sites (fractional):
Sr  0.0000  0.0000  0.0000 [3 per cell]
Tl  0.0369  0.8505  0.8071 [18 per cell]
Tl  0.0660  0.2277  0.4180 [18 per cell]
Pb  0.0173  0.5847  0.7019 [18 per cell]



# 7
Material: HoBeCo2C
Method: DFT, PBE
State: optimized geometry

Volume ... 244 Å³/cell
Mass density ... 8.256 Mg/m³
Size of the total moment ... 0.000 Bohr magnetons per cell
Formation energy from the elements ... -133 kJ/mol of formula units

a = 3.6501 Å, b = 10.0525 Å, c = 6.6616 Å
α = 90.00°, β = 90.00°, γ = 90.00°
Space group Cmcm (No. 63)
Symmetry-distinct sites (fractional):
Ho  0.0000  0.0512  0.2500 [4 per cell]
Be  0.0000  0.2286  0.7500 [4 per cell]
Co  0.0000  0.3292  0.0613 [8 per cell]
C  0.0000  0.5000  0.0000 [4 per cell]



# 8
Material: RbSnB
Method: DFT, PBE
State: optimized geometry

Volume ... 381 Å³/cell
Mass density ... 3.744 Mg/m³
Size of the total moment ... 0.000 Bohr magnetons per cell
Formation energy from the elements ... 108 kJ/mol of formula units

a = 7.2031 Å, b = 16.2185 Å, c = 3.2651 Å
α = 90.00°, β = 90.00°, γ = 90.00°
Space group Cmcm (No. 63)
Symmetry-distinct sites (fractional):
Rb  0.0000  0.1492  0.2500 [4 per cell]
Sn  0.0000  0.3560  0.7500 [4 per cell]
B  0.0000  0.5000  0.0000 [4 per cell]



# 9
Material: TcAgCl
Method: DFT, PBE
State: optimized geometry

Volume ... 112 Å³/cell
Mass density ... 7.169 Mg/m³
Uncorrected formation energy ... 0.487 eV/atom
Excess energy over the best structure of this formula in the dataset ... 155 meV/atom
Size of the total moment ... 0.000 Bohr magnetons per cell

a = 2.9652 Å, b = 2.9652 Å, c = 12.7137 Å
α = 90.00°, β = 90.00°, γ = 90.00°
Space group I4mm (No. 107)
Symmetry-distinct sites (fractional):
Tc  0.0000  0.0000  0.0000 [2 per cell]
Ag  0.0000  0.0000  0.6587 [2 per cell]
Cl  0.0000  0.0000  0.4010 [2 per cell]



# 10
Material: SmEr2Sn2
Method: DFT, PBE
State: optimized geometry

Volume ... 415 Å³/cell
Mass density ... 8.675 Mg/m³
Size of the total moment ... 0.000 Bohr magnetons per cell
Formation energy from the elements ... -272 kJ/mol of formula units

a = 5.2042 Å, b = 5.2042 Å, c = 17.6822 Å
α = 90.00°, β = 90.00°, γ = 120.00°
Space group R-3m (No. 166, hexagonal axes)
Symmetry-distinct sites (fractional):
Sm  0.0000  0.0000  0.0000 [3 per cell]
Er  0.0000  0.0000  0.2082 [6 per cell]
Sn  0.0000  0.0000  0.4106 [6 per cell]



# 11
Material: Sn2SbAsC
Method: DFT, PBE
State: optimized geometry

Volume ... 123 Å³/cell
Mass density ... 6.011 Mg/m³
Uncorrected formation energy ... 0.964 eV/atom
Size of the total moment ... 0.000 Bohr magnetons per cell

a = 5.7118 Å, b = 5.7118 Å, c = 3.7773 Å
α = 90.00°, β = 90.00°, γ = 90.00°
Space group P4/mmm (No. 123)
Symmetry-distinct sites (fractional):
Sn  0.0000  0.5000  0.0000 [2 per cell]
Sb  0.0000  0.0000  0.5000 [1 per cell]
As  0.5000  0.5000  0.0000 [1 per cell]
C  0.5000  0.5000  0.5000 [1 per cell]



# 12
Material: NaPd2S3
Method: DFT, PBE
State: optimized geometry

Volume ... 252 Å³/cell
Mass density ... 4.384 Mg/m³
Uncorrected formation energy ... -0.524 eV/atom
Size of the total moment ... 0.000 Bohr magnetons per cell

a = 7.1008 Å, b = 7.1008 Å, c = 5.7599 Å
α = 90.00°, β = 90.00°, γ = 120.00°
Space group P-3m1 (No. 164)
Symmetry-distinct sites (fractional):
Na  0.3333  0.6667  0.0897 [2 per cell]
Pd  0.0000  0.0000  0.5000 [1 per cell]
Pd  0.0000  0.5000  0.5000 [3 per cell]
S  0.1707  0.3415  0.7073 [6 per cell]



# 13
Material: BaTl3
Method: DFT, PBE
State: optimized geometry

Volume ... 545 Å³/cell
Mass density ... 9.142 Mg/m³
Size of the total moment ... 0.000 Bohr magnetons per cell
Formation energy from the elements ... -117 kJ/mol of formula units

a = 7.1684 Å, b = 14.1346 Å, c = 5.3811 Å
α = 90.00°, β = 90.00°, γ = 90.00°
Space group Cmcm (No. 63)
Symmetry-distinct sites (fractional):
Ba  0.0000  0.1900  0.2500 [4 per cell]
Tl  0.0000  0.3701  0.7500 [4 per cell]
Tl  0.2386  0.0667  0.7500 [8 per cell]



# 14
Material: InMo2Pt
Method: DFT, PBE
State: optimized geometry

Volume ... 135 Å³/cell
Mass density ... 12.333 Mg/m³
Size of the total moment ... 0.000 Bohr magnetons per cell
Formation energy from the elements ... 33 kJ/mol of formula units

a = 9.5031 Å, b = 2.7697 Å, c = 5.1698 Å
α = 90.00°, β = 96.76°, γ = 90.00°
Space group Cm (No. 8)
Symmetry-distinct sites (fractional):
In  0.0000  0.0000  0.0000 [2 per cell]
Mo  0.2435  0.0000  0.7072 [2 per cell]
Mo  0.4824  0.0000  0.5025 [2 per cell]
Pt  0.2501  0.5000  0.2243 [2 per cell]



# 15
Material: Al2CdBr
Method: DFT, PBE
State: optimized geometry

Volume ... 187 Å³/cell
Mass density ... 4.382 Mg/m³
Uncorrected formation energy ... 0.214 eV/atom
Excess energy over the best structure of this formula in the dataset ... 166 meV/atom
Size of the total moment ... 0.000 Bohr magnetons per cell

a = 4.4319 Å, b = 4.4319 Å, c = 9.5037 Å
α = 90.00°, β = 90.00°, γ = 90.00°
Space group I4/mmm (No. 139)
Symmetry-distinct sites (fractional):
Al  0.0000  0.5000  0.2500 [4 per cell]
Cd  0.0000  0.0000  0.0000 [2 per cell]
Br  0.0000  0.0000  0.5000 [2 per cell]



# 16
Material: KTeSe2Br
Method: DFT, PBE
State: optimized geometry

Volume ... 172 Å³/cell
Mass density ... 3.914 Mg/m³
Uncorrected formation energy ... -0.416 eV/atom
Excess energy over the best structure of this formula in the dataset ... 0 meV/atom
Size of the total moment ... 0.000 Bohr magnetons per cell

a = 5.4422 Å, b = 5.4422 Å, c = 5.7944 Å
α = 90.00°, β = 90.00°, γ = 90.00°
Space group P4/mmm (No. 123)
Symmetry-distinct sites (fractional):
K  0.0000  0.0000  0.0000 [1 per cell]
Te  0.5000  0.5000  0.5000 [1 per cell]
Se  0.0000  0.5000  0.5000 [2 per cell]
Br  0.5000  0.5000  0.0000 [1 per cell]



# 17
Material: RbGa2Hg2
Method: DFT, PBE
State: optimized geometry

Volume ... 273 Å³/cell
Mass density ... 7.627 Mg/m³
Excess energy over the best structure of this formula in the dataset ... 119 meV/atom
Size of the total moment ... 0.000 Bohr magnetons per cell
Formation energy from the elements ... 9 kJ/mol of formula units

a = 9.1081 Å, b = 9.1081 Å, c = 3.2864 Å
α = 90.00°, β = 90.00°, γ = 90.00°
Space group P4/mbm (No. 127)
Symmetry-distinct sites (fractional):
Rb  0.0000  0.0000  0.0000 [2 per cell]
Ga  0.1418  0.3582  0.5000 [4 per cell]
Hg  0.1433  0.6433  0.0000 [4 per cell]



# 18
Material: PrHoPu2S4
Method: DFT, PBE
State: optimized geometry

Volume ... 178 Å³/cell
Mass density ... 8.602 Mg/m³
Uncorrected formation energy ... -1.895 eV/atom
Size of the total moment ... 11.308 Bohr magnetons per cell

a = 6.8900 Å, b = 3.9664 Å, c = 6.9016 Å
α = 90.00°, β = 109.31°, γ = 90.00°
Space group P2/m (No. 10)
Symmetry-distinct sites (fractional):
Pr  0.0000  0.0000  0.0000 [1 per cell]
Ho  0.5000  0.5000  0.0000 [1 per cell]
Pu  0.0000  0.5000  0.5000 [1 per cell]
Pu  0.5000  0.0000  0.5000 [1 per cell]
S  0.2587  0.0000  0.7500 [2 per cell]
S  0.2611  0.5000  0.2572 [2 per cell]



# 19
Material: KRb
Method: DFT, PBE
State: optimized geometry

Volume ... 324 Å³/cell
Mass density ... 1.276 Mg/m³
Excess energy over the best structure of this formula in the dataset ... 4 meV/atom
Size of the total moment ... 0.000 Bohr magnetons per cell
Formation energy from the elements ... 1 kJ/mol of formula units

a = 8.3661 Å, b = 4.8662 Å, c = 8.3566 Å
α = 90.00°, β = 107.58°, γ = 90.00°
Space group Cm (No. 8)
Symmetry-distinct sites (fractional):
K  0.0000  0.0000  0.0000 [2 per cell]
Rb  0.4959  0.0000  0.5000 [2 per cell]



# 20
Material: CdRu5
Method: DFT, PBE
State: optimized geometry

Volume ... 376 Å³/cell
Mass density ... 10.902 Mg/m³
Excess energy over the best structure of this formula in the dataset ... 385 meV/atom
Size of the total moment ... 0.315 Bohr magnetons per cell
Formation energy from the elements ... 344 kJ/mol of formula units

a = 7.2201 Å, b = 7.2201 Å, c = 7.2201 Å
α = 90.00°, β = 90.00°, γ = 90.00°
Space group F-43m (No. 216)
Symmetry-distinct sites (fractional):
Cd  0.0000  0.0000  0.0000 [4 per cell]
Ru  0.1248  0.1248  0.6248 [16 per cell]
Ru  0.2500  0.2500  0.2500 [4 per cell]